No. 1
{
  "formula": "Bi2IBr",
  "functional": "PBE",
  "state": "optimized geometry",
  "e_form_raw_ev_per_atom": 0.197,
  "e_above_lowest_polymorph_mev_per_atom": 571.3,
  "magnetic_moment_mub_per_cell": 0.0,
  "final_energy_ev_per_fu": -10.20,
  "lattice": [[0.332, 0.071, 5.588], [1.712, 4.628, 2.644], [-3.643, 3.030, 2.982]],
  "species": ["I", "Br", "Bi", "Bi"],
  "frac_coords": [[0.500, 0.500, 0.500], [0.000, 0.000, 0.000], [0.250, 0.250, 0.250], [0.750, 0.750, 0.750]]
}



No. 2
{
  "formula": "Bi4I5Br2",
  "functional": "PBE",
  "state": "optimized geometry",
  "e_form_raw_ev_per_atom": -0.232,
  "magnetic_moment_mub_per_cell": 0.0,
  "final_energy_ev_per_fu": -29.18,
  "lattice": [[-6.436, 2.111, 4.391], [-5.591, -6.484, 2.341], [1.230, -0.383, 9.408]],
  "species": ["I", "I", "I", "I", "I", "Bi", "Bi", "Bi", "Bi", "Br", "Br"],
  "frac_coords": [[0.669, 0.239, 0.936], [0.000, 0.500, 0.500], [0.156, 0.239, 0.936], [0.331, 0.761, 0.064], [0.844, 0.761, 0.064], [0.611, 0.086, 0.692], [0.389, 0.914, 0.308], [0.740, 0.706, 0.814], [0.260, 0.294, 0.186], [0.802, 0.016, 0.381], [0.198, 0.984, 0.619]]
}